1.
The following is a PBE calculation of a geometry-optimized CoMoPtPb structure, from OQMD.

Unit cell a=6.3943 b=6.3943 c=6.3943 alpha=90.00 beta=90.00 gamma=90.00
With the nearest neighbours (Å) after each atom.
Space group F-43m (No. 216)
Unique sites:
Co 0.0000 0.0000 0.0000 x4  4 Pb 2.77, 4 Pt 2.77
Mo 0.0000 0.0000 0.5000 x4  4 Pb 2.77, 4 Pt 2.77
Pt 0.2500 0.2500 0.2500 x4  4 Co 2.77, 4 Mo 2.77
Pb 0.2500 0.2500 0.7500 x4  4 Mo 2.77, 4 Co 2.77

Summary:
size of the total moment	0.015	μB/atom
theoretical density	14.15	Mg/m³
calculated total energy	-0.4785	Ry per atom
excess energy over the best structure of this formula in the dataset	0.000	eV per atom



2.
The following is a PBE calculation of a geometry-optimized Cd2AgIr structure, from OQMD.

Unit cell a=6.5819 b=6.5819 c=6.5819 alpha=90.00 beta=90.00 gamma=90.00
With the nearest neighbours (Å) after each atom.
Space group F-43m (No. 216)
Unique sites:
Cd 0.0000 0.0000 0.0000 x4  4 Cd 2.85, 4 Ag 2.85
Cd 0.2500 0.2500 0.2500 x4  4 Cd 2.85, 4 Ir 2.85
Ag 0.2500 0.2500 0.7500 x4  4 Cd 2.85, 4 Ir 2.85
Ir 0.0000 0.0000 0.5000 x4  4 Cd 2.85, 4 Ag 2.85

Summary:
size of the total moment	0.003	μB/atom
theoretical density	12.23	Mg/m³
DFT formation energy	0.194	eV/atom
calculated total energy	-0.2332	Ry per atom